No. 1
Crystalline Mn2CuOs at its relaxed geometry. Source: Alexandria, functional PBE.

Cell lengths 5.890, 5.890, 5.890 Å; angles 90.00, 90.00, 90.00 degrees
Space group F-43m (No. 216)
Inequivalent atoms, fractional coordinates:
Mn 0.000 0.000 0.000 x4
Mn 0.250 0.250 0.250 x4
Cu 0.250 0.250 0.750 x4
Os 0.000 0.000 0.500 x4

=====

No. 2
Crystalline Hg4SeS2Br at its relaxed geometry. Source: Alexandria, functional PBE.

Cell lengths 6.256, 6.256, 12.672 Å; angles 90.00, 90.00, 90.00 degrees
Space group I-42m (No. 121)
Inequivalent atoms, fractional coordinates:
Hg 0.227 0.227 0.142 x8
Se 0.000 0.000 0.000 x2
S 0.000 0.500 0.250 x4
Br 0.000 0.000 0.500 x2

=====

Calculated calculated total energy (Ry per atom), listed in the same order as above: -0.5996; -0.1448